[1]
# Cd10Ag3Hg3 PBE optimized geometry
data_Cd10Ag3Hg3
_chemical_formula_sum 'Cd10 Ag3 Hg3'
_cell_length_a 5.5757
_cell_length_b 8.6071
_cell_length_c 8.6071
_cell_angle_alpha 120.00
_cell_angle_beta 90.00
_cell_angle_gamma 90.00
_space_group_name_H-M_alt 'P 1'
_space_group_IT_number 1
loop_
_space_group_symop_operation_xyz
'x,y,z'
loop_
_atom_site_label
_atom_site_fract_x
_atom_site_fract_y
_atom_site_fract_z
Cd1 0.0000 0.7833 0.7833
Cd2 0.7452 0.6667 0.3333
Cd3 0.0000 0.2167 0.0000
Cd4 0.2548 0.6667 0.3333
Cd5 0.2548 0.3333 0.6667
Cd6 0.5000 0.2217 0.2217
Cd7 0.0000 0.0000 0.2167
Cd8 0.5000 0.7783 0.0000
Cd9 0.5000 0.0000 0.7783
Cd10 0.7452 0.3333 0.6667
Ag1 0.5000 0.0000 0.3891
Ag2 0.5000 0.6109 0.6109
Ag3 0.5000 0.3891 0.0000
Hg1 0.0000 0.0000 0.5919
Hg2 0.0000 0.4081 0.4081
Hg3 0.0000 0.5919 0.0000
# Fermi-level density of states: 5.70 states/eV/f.u.
# space group: P-62m
# DFT formation energy: 0.045 eV/atom

=====

[2]
# PmNdCdPd PBE optimized geometry
data_PmNdCdPd
_chemical_formula_sum 'Pm1 Nd1 Cd1 Pd1'
_cell_length_a 5.2723
_cell_length_b 5.2723
_cell_length_c 5.2723
_cell_angle_alpha 60.00
_cell_angle_beta 60.00
_cell_angle_gamma 60.00
_space_group_name_H-M_alt 'P 1'
_space_group_IT_number 1
loop_
_space_group_symop_operation_xyz
'x,y,z'
loop_
_atom_site_label
_atom_site_fract_x
_atom_site_fract_y
_atom_site_fract_z
Pm1 0.5000 0.5000 0.5000
Nd1 0.0000 0.0000 0.0000
Cd1 0.7500 0.7500 0.7500
Pd1 0.2500 0.2500 0.2500
# Fermi-level density of states: 3.28 states/eV/f.u.
# space group: F-43m
# DFT formation energy: -0.477 eV/atom

=====

[3]
# DyAg3Br6 PBE optimized geometry
data_DyAg3Br6
_chemical_formula_sum 'Dy1 Ag3 Br6'
_cell_length_a 8.1432
_cell_length_b 8.1946
_cell_length_c 8.1990
_cell_angle_alpha 60.00
_cell_angle_beta 57.68
_cell_angle_gamma 57.67
_space_group_name_H-M_alt 'P 1'
_space_group_IT_number 1
loop_
_space_group_symop_operation_xyz
'x,y,z'
loop_
_atom_site_label
_atom_site_fract_x
_atom_site_fract_y
_atom_site_fract_z
Ag1 0.5000 0.5000 0.5000
Ag2 0.5000 0.5000 0.0000
Ag3 0.5000 0.0000 0.5000
Br1 0.2632 0.7343 0.2269
Br2 0.7925 0.2471 0.2476
Br3 0.2075 0.7529 0.7524
Br4 0.7328 0.7770 0.2619
Br5 0.2672 0.2230 0.7381
Br6 0.7368 0.2657 0.7731
Dy1 0.0000 0.0000 0.0000
# Fermi-level density of states: 0.00 states/eV/f.u.
# space group: P-1
# uncorrected formation energy: -881.2 meV/atom

=====

[4]
# LaTaIn2 PBE optimized geometry
data_LaTaIn2
_chemical_formula_sum 'La1 Ta1 In2'
_cell_length_a 7.4312
_cell_length_b 7.4312
_cell_length_c 7.4312
_cell_angle_alpha 155.41
_cell_angle_beta 140.46
_cell_angle_gamma 47.12
_space_group_name_H-M_alt 'P 1'
_space_group_IT_number 1
loop_
_space_group_symop_operation_xyz
'x,y,z'
loop_
_atom_site_label
_atom_site_fract_x
_atom_site_fract_y
_atom_site_fract_z
In1 0.0638 0.0638 0.0000
In2 0.7504 0.2504 0.5000
Ta1 0.2414 0.7414 0.5000
La1 0.4444 0.4444 0.0000
# Fermi-level density of states: 2.73 states/eV/f.u.
# space group: Imm2
# DFT formation energy: 0.144 eV/atom

=====

| no. | energy (eV/atom) | magnetization (Bohr magnetons per cell) |
| --- | --- | --- |
| 1 | -1.118 | 0.00 |
| 2 | -4.384 | 0.00 |
| 3 | -3.200 | 0.00 |
| 4 | -5.420 | 0.00 |